# 1
! Cu2OsPb, relaxed, DFT PBE-GGA; values from VASP
&SYSTEM
  ibrav = 0, nat = 4, ntyp = 3
/
ATOMIC_SPECIES
Cu 63.55 Cu.upf
Pb 207.20 Pb.upf
Os 190.23 Os.upf
CELL_PARAMETERS angstrom
-7.479 -4.935 -1.216
-6.580 -6.048 1.376
-8.203 -3.573 1.311
ATOMIC_POSITIONS crystal
Cu 0.009 0.009 0.009
Cu 0.491 0.491 0.491
Pb 0.250 0.250 0.250
Os 0.750 0.750 0.750
! density	12.92	Mg/m³
! electronic total energy	-5.1086	eV per atom
! DFT formation energy	0.674	eV per atom
! N(E_F)	3.18	states/eV/cell

***

# 2
! CdTeF2, relaxed, DFT PBE-GGA; values from VASP
&SYSTEM
  ibrav = 0, nat = 4, ntyp = 3
/
ATOMIC_SPECIES
Cd 112.41 Cd.upf
F 19.00 F.upf
Te 127.60 Te.upf
CELL_PARAMETERS angstrom
-7.808 3.193 2.962
-6.524 2.069 5.753
-5.718 5.046 4.665
ATOMIC_POSITIONS crystal
Cd 0.500 0.500 0.500
F 0.079 0.079 0.079
F 0.921 0.921 0.921
Te 0.000 0.000 0.000
! density	5.70	Mg/m³
! offset from the most stable computed form	0.000	eV/atom
! electronic total energy	-3.1161	eV per atom
! energy relative to the elements, uncorrected	-450	kJ/mol of formula units
! N(E_F)	2.70	states/eV/cell

***

# 3
! ScCuB, relaxed, DFT PBE-GGA; values from VASP
&SYSTEM
  ibrav = 0, nat = 6, ntyp = 3
/
ATOMIC_SPECIES
Sc 44.96 Sc.upf
B 10.81 B.upf
Cu 63.55 Cu.upf
CELL_PARAMETERS angstrom
-0.583 2.390 1.966
-3.335 -0.102 -0.865
-2.872 -4.609 4.751
ATOMIC_POSITIONS crystal
Sc 0.250 0.099 0.802
Sc 0.750 0.901 0.198
B 0.750 0.529 0.941
B 0.250 0.471 0.059
Cu 0.250 0.296 0.409
Cu 0.750 0.704 0.591
! density	5.21	Mg/m³
! electronic total energy	-6.1807	eV per atom
! DFT formation energy	-0.479	eV per atom
! N(E_F)	2.75	states/eV/cell

***

# 4
! Tm2Zn2Cd3, relaxed, DFT PBE-GGA; values from VASP
&SYSTEM
  ibrav = 0, nat = 7, ntyp = 3
/
ATOMIC_SPECIES
Cd 112.41 Cd.upf
Tm 168.93 Tm.upf
Zn 65.41 Zn.upf
CELL_PARAMETERS angstrom
-0.733 3.545 2.191
-4.676 -3.213 -0.452
4.591 -2.384 5.393
ATOMIC_POSITIONS crystal
Cd 0.619 0.238 0.439
Cd 0.381 0.762 0.561
Cd 0.500 0.000 0.000
Tm 0.143 0.286 0.789
Tm 0.857 0.714 0.211
Zn 0.156 0.312 0.199
Zn 0.844 0.688 0.801
! density	8.79	Mg/m³
! offset from the most stable computed form	0.000	eV/atom
! electronic total energy	-2.2950	eV per atom
! DFT formation energy	-0.261	eV per atom
! N(E_F)	3.72	states/eV/cell

***

# 5
! CoHI2N, relaxed, DFT PBE-GGA; values from VASP
&SYSTEM
  ibrav = 0, nat = 5, ntyp = 4
/
ATOMIC_SPECIES
I 126.90 I.upf
H 1.01 H.upf
Co 58.93 Co.upf
N 14.01 N.upf
CELL_PARAMETERS angstrom
5.849 0.000 0.000
0.000 5.849 0.000
0.000 0.000 2.856
ATOMIC_POSITIONS crystal
I 0.000 0.500 0.000
I 0.500 0.000 0.000
H 0.000 0.000 0.000
Co 0.500 0.500 0.500
N 0.000 0.000 0.500
! density	5.57	Mg/m³
! offset from the most stable computed form	0.574	eV/atom
! electronic total energy	-3.0037	eV per atom
! N(E_F)	4.43	states/eV/cell

***

# 6
! Cr2ReRh, relaxed, DFT PBE-GGA; values from VASP
&SYSTEM
  ibrav = 0, nat = 4, ntyp = 3
/
ATOMIC_SPECIES
Rh 102.91 Rh.upf
Cr 52.00 Cr.upf
Re 186.21 Re.upf
CELL_PARAMETERS angstrom
8.466 -0.027 -0.016
8.035 2.666 -0.016
8.035 1.285 2.336
ATOMIC_POSITIONS crystal
Rh 0.745 0.745 0.745
Cr 0.995 0.995 0.995
Cr 0.256 0.256 0.256
Re 0.504 0.504 0.504
! density	12.18	Mg/m³
! electronic total energy	-9.5851	eV per atom
! DFT formation energy	0.176	eV per atom
! N(E_F)	5.30	states/eV/cell

***

# 7
! Li2H6Rh, relaxed, DFT PBE-GGA; values from VASP
&SYSTEM
  ibrav = 0, nat = 9, ntyp = 3
/
ATOMIC_SPECIES
Li 6.94 Li.upf
H 1.01 H.upf
Rh 102.91 Rh.upf
CELL_PARAMETERS angstrom
3.897 0.000 2.250
1.299 3.674 2.250
0.000 0.000 4.500
ATOMIC_POSITIONS crystal
Li 0.750 0.750 0.750
Li 0.250 0.250 0.250
H 0.262 0.262 0.738
H 0.738 0.262 0.738
H 0.262 0.738 0.262
H 0.738 0.738 0.262
H 0.262 0.738 0.738
H 0.738 0.262 0.262
Rh 0.000 0.000 0.000
! density	3.17	Mg/m³
! offset from the most stable computed form	0.000	eV/atom
! electronic total energy	-3.5898	eV per atom
! N(E_F)	3.07	states/eV/cell

***

# 8
! Be3ZnH9, relaxed, DFT PBE-GGA; values from VASP
&SYSTEM
  ibrav = 0, nat = 26, ntyp = 3
/
ATOMIC_SPECIES
H 1.01 H.upf
Be 9.01 Be.upf
Zn 65.41 Zn.upf
CELL_PARAMETERS angstrom
5.956 0.000 2.506
2.638 5.545 2.061
0.353 0.145 7.493
ATOMIC_POSITIONS crystal
H 0.063 0.968 0.732
H 0.237 0.468 0.232
H 0.400 0.958 0.281
H 0.423 0.584 0.336
H 0.361 0.458 0.781
H 0.286 0.847 0.000
H 0.025 0.238 0.065
H 0.095 0.495 0.590
H 0.866 0.347 0.500
H 0.915 0.663 0.967
H 0.366 0.568 0.702
H 0.364 0.068 0.202
H 0.774 0.372 0.810
H 0.657 0.084 0.836
H 0.672 0.738 0.565
H 0.820 0.995 0.090
H 0.044 0.872 0.310
H 0.455 0.163 0.467
Be 0.024 0.006 0.109
Be 0.317 0.662 0.174
Be 0.847 0.162 0.674
Be 0.873 0.909 0.914
Be 0.303 0.409 0.414
Be 0.861 0.506 0.609
Zn 0.772 0.486 0.999
Zn 0.743 0.986 0.499
! density	1.39	Mg/m³
! electronic total energy	-3.1867	eV per atom
! N(E_F)	1.18	states/eV/cell

***

Copy entry 2 word for word.
! CdTeF2, relaxed, DFT PBE-GGA; values from VASP
&SYSTEM
  ibrav = 0, nat = 4, ntyp = 3
/
ATOMIC_SPECIES
Cd 112.41 Cd.upf
F 19.00 F.upf
Te 127.60 Te.upf
CELL_PARAMETERS angstrom
-7.808 3.193 2.962
-6.524 2.069 5.753
-5.718 5.046 4.665
ATOMIC_POSITIONS crystal
Cd 0.500 0.500 0.500
F 0.079 0.079 0.079
F 0.921 0.921 0.921
Te 0.000 0.000 0.000
! density	5.70	Mg/m³
! offset from the most stable computed form	0.000	eV/atom
! electronic total energy	-3.1161	eV per atom
! energy relative to the elements, uncorrected	-450	kJ/mol of formula units
! N(E_F)	2.70	states/eV/cell

***

Look up the density of the eighth one.
1.39 Mg/m³

***

Which value of N(E_F) does entry 5 give?
4.43 states/eV/cell